1.
This record from Alexandria via LeMat-Bulk describes crystalline InTc2W at its relaxed geometry. The functional is GGA-PBE.

Lattice parameters (Å, degrees): 5.1680 5.1680 5.1680 136.35 136.35 63.44
Element x y z (fractional)
In (0.2500, 0.7500, 0.5000)
Tc (0.0000, 0.0000, 0.0000)
Tc (0.7500, 0.2500, 0.5000)
W (0.5000, 0.5000, 0.0000)

The total moment comes out at 0.00 μB/atom. The calculation puts the energy relative to the elements at 0.361 eV per atom.

2.
This record from Alexandria via LeMat-Bulk describes crystalline Y3MgPb at its relaxed geometry. The functional is GGA-PBE.

Lattice parameters (Å, degrees): 5.7834 5.7834 5.7834 90.00 90.00 90.00
Element x y z (fractional)
Pb (0.0000, 0.0000, 0.0000)
Y (0.0000, 0.5000, 0.0000)
Y (0.0000, 0.0000, 0.5000)
Y (0.5000, 0.0000, 0.0000)
Mg (0.5000, 0.5000, 0.5000)

Its distance to the lowest polymorph of the same formula is 0 meV per atom. The total moment comes out at 0.23 μB/atom. The calculation puts the energy relative to the elements at 0.310 eV per atom.

3.
This record from Alexandria via LeMat-Bulk describes crystalline Pm3Tm2In2 at its relaxed geometry. The functional is GGA-PBE.

Lattice parameters (Å, degrees): 4.9941 3.5147 12.0853 90.00 78.08 90.00
Element x y z (fractional)
Pm (0.8560, 0.0000, 0.2880)
Pm (0.0000, 0.0000, 0.0000)
Pm (0.1440, 0.0000, 0.7120)
Tm (0.7128, 0.5000, 0.5743)
Tm (0.2872, 0.5000, 0.4257)
In (0.5715, 0.5000, 0.8570)
In (0.4285, 0.5000, 0.1430)

Its distance to the lowest polymorph of the same formula is 94 meV per atom. The total moment comes out at 0.03 μB/atom. The calculation puts the energy relative to the elements at -0.164 eV per atom.

4.
This record from Alexandria via LeMat-Bulk describes crystalline Er5Cd2Bi at its relaxed geometry. The functional is GGA-PBE.

Lattice parameters (Å, degrees): 8.3102 8.3102 8.7378 118.39 118.39 90.00
Element x y z (fractional)
Er (0.5033, 0.6987, 0.7020)
Er (0.8013, 0.9967, 0.2980)
Er (0.0000, 0.0000, 0.0000)
Er (0.5000, 0.5000, 0.0000)
Er (0.1987, 0.0033, 0.7020)
Er (0.6987, 0.1987, 0.7020)
Er (0.0033, 0.5033, 0.7020)
Er (0.3013, 0.8013, 0.2980)
Er (0.9967, 0.4967, 0.2980)
Er (0.4967, 0.3013, 0.2980)
Cd (0.1400, 0.3600, 0.0000)
Cd (0.6400, 0.1400, 0.0000)
Cd (0.3600, 0.8600, 0.0000)
Cd (0.8600, 0.6400, 0.0000)
Bi (0.7500, 0.7500, 0.5000)
Bi (0.2500, 0.2500, 0.5000)

The total moment comes out at 0.00 μB/atom. The calculation puts the energy relative to the elements at -0.351 eV per atom.